# 1
The following is a PBE calculation of Pr4ScZn after structural relaxation, from the Alexandria database.

a b c (Å): 3.681 3.681 13.626
angles (deg): 90.00 90.00 90.00
Fractional coordinates of all 6 atoms:
Pr 0.500 0.500 0.168
Pr 0.000 0.000 0.637
Pr 0.000 0.000 0.363
Pr 0.500 0.500 0.832
Sc 0.000 0.000 0.000
Zn 0.500 0.500 0.500

Energy relative to the elements in eV/atom: -0.07
Density of states at the Fermi level in states/eV/f.u.: 7.6
Total magnetization in μB per cell: 0.000

=====

# 2
The following is a PBE calculation of AcAg3Pd4O12 after structural relaxation, from the Alexandria database.

a b c (Å): 6.825 6.825 6.825
angles (deg): 109.47 109.47 109.47
Fractional coordinates of all 20 atoms:
Ac 0.000 0.000 0.000
Ag 0.000 0.500 0.500
Ag 0.500 0.500 0.000
Ag 0.500 0.000 0.500
Pd 0.500 0.000 0.000
Pd 0.500 0.500 0.500
Pd 0.000 0.500 0.000
Pd 0.000 0.000 0.500
O 0.299 0.826 0.124
O 0.701 0.174 0.876
O 0.701 0.826 0.527
O 0.876 0.701 0.174
O 0.826 0.124 0.299
O 0.174 0.473 0.299
O 0.473 0.299 0.174
O 0.174 0.876 0.701
O 0.299 0.174 0.473
O 0.124 0.299 0.826
O 0.826 0.527 0.701
O 0.527 0.701 0.826

Calculated total energy in eV per atom: -5.300
Density of states at the Fermi level in states/eV/f.u.: 14.3
Total magnetization in μB per cell: 0.000

=====

# 3
The following is a PBE calculation of CaHoEr4S8 after structural relaxation, from the Alexandria database.

a b c (Å): 8.025 8.025 8.032
angles (deg): 60.03 60.03 60.00
Fractional coordinates of all 14 atoms:
Ca 0.375 0.375 0.875
Ho 0.002 0.002 0.994
Er 0.625 0.625 0.125
Er 0.002 0.494 0.502
Er 0.494 0.002 0.502
Er 0.002 0.002 0.502
S 0.240 0.782 0.738
S 0.782 0.240 0.738
S 0.240 0.240 0.738
S 0.239 0.239 0.283
S 0.757 0.227 0.259
S 0.227 0.757 0.259
S 0.757 0.757 0.259
S 0.758 0.758 0.726

Calculated total energy in eV per atom: -6.131
Density of states at the Fermi level in states/eV/f.u.: 3.3
Total magnetization in μB per cell: 0.000

=====

# 4
The following is a PBE calculation of CeY2MgC after structural relaxation, from the Alexandria database.

a b c (Å): 4.960 5.013 5.013
angles (deg): 90.00 90.00 90.00
Each line ends with the local moment (μB).
Fractional coordinates of all 5 atoms:
Ce 0.500 0.000 0.000  0.22
Y 0.000 0.000 0.500  0.01
Y 0.000 0.500 0.000  0.01
Mg 0.500 0.500 0.500  0.00
C 0.000 0.000 0.000  -0.01

Energy relative to the elements in eV/atom: -0.15
Density of states at the Fermi level in states/eV/f.u.: 7.9
Total magnetization in μB per cell: 0.273

=====

# 5
The following is a PBE calculation of LaPm3Sm after structural relaxation, from the Alexandria database.

a b c (Å): 3.700 8.744 11.448
angles (deg): 74.60 99.30 90.00
Fractional coordinates of all 10 atoms:
La 0.584 0.416 0.168
La 0.416 0.584 0.832
Pm 0.017 0.788 0.033
Pm 0.983 0.212 0.967
Pm 0.383 0.018 0.765
Pm 0.617 0.982 0.235
Pm 0.184 0.617 0.368
Pm 0.816 0.383 0.632
Sm 0.782 0.820 0.564
Sm 0.218 0.180 0.436

Energy relative to the elements in eV/atom: 0.03
Density of states at the Fermi level in states/eV/f.u.: 9.0
Total magnetization in μB per cell: 0.000
Excess energy over the best structure of this formula in the dataset in eV/atom: 0.000

=====

# 6
The following is a PBE calculation of Ta2CdGa after structural relaxation, from the Alexandria database.

a b c (Å): 7.405 7.405 5.943
angles (deg): 51.47 51.47 90.00
Fractional coordinates of all 8 atoms:
Cd 0.000 0.000 0.000
Cd 0.750 0.250 0.500
Ga 0.500 0.500 0.000
Ga 0.250 0.750 0.500
Ta 0.610 0.125 0.250
Ta 0.140 0.625 0.250
Ta 0.375 0.390 0.750
Ta 0.875 0.860 0.750

Energy relative to the elements in eV/atom: 0.56
Density of states at the Fermi level in states/eV/f.u.: 2.1
Total magnetization in μB per cell: 0.000

=====

# 7
The following is a PBE calculation of ZnSi2Mo after structural relaxation, from the Alexandria database.

a b c (Å): 8.057 8.057 8.057
angles (deg): 21.45 21.45 21.45
Fractional coordinates of all 4 atoms:
Mo 0.750 0.750 0.750
Si 0.004 0.004 0.004
Si 0.496 0.496 0.496
Zn 0.250 0.250 0.250

Calculated total energy in eV per atom: -5.687
Density of states at the Fermi level in states/eV/f.u.: 1.3
Total magnetization in μB per cell: 0.000

=====

# 8
The following is a PBE calculation of Cu3As2O8 after structural relaxation, from the Alexandria database.

a b c (Å): 5.114 5.730 6.461
angles (deg): 107.73 87.22 112.55
Each line ends with the local moment (μB).
Fractional coordinates of all 13 atoms:
Cu 0.000 0.000 0.000  0.51
Cu 0.741 0.195 0.671  0.51
Cu 0.259 0.805 0.329  0.51
As 0.640 0.335 0.214  0.01
As 0.360 0.665 0.786  0.01
O 0.378 0.883 0.638  0.11
O 0.622 0.117 0.362  0.11
O 0.212 0.792 0.025  0.10
O 0.788 0.208 0.975  0.10
O 0.686 0.668 0.846  0.08
O 0.858 0.648 0.358  0.08
O 0.142 0.352 0.642  0.08
O 0.314 0.332 0.154  0.08

Density of states at the Fermi level in states/eV/f.u.: 4.7
Total magnetization in μB per cell: 2.380
Excess energy over the best structure of this formula in the dataset in eV/atom: 0.000

=====

# 9
The following is a PBE calculation of LaMo2Os after structural relaxation, from the Alexandria database.

a b c (Å): 10.602 10.602 10.602
angles (deg): 15.58 15.58 15.58
Fractional coordinates of all 4 atoms:
La 0.831 0.831 0.831
Mo 0.073 0.073 0.073
Mo 0.259 0.259 0.259
Os 0.337 0.337 0.337

Energy relative to the elements in eV/atom: 0.81
Density of states at the Fermi level in states/eV/f.u.: 5.2
Total magnetization in μB per cell: 0.000
Excess energy over the best structure of this formula in the dataset in eV/atom: 0.460